DFT (PBE) results for a relaxed Tm4Tl2Ni crystal.

As for the total magnetization: 0.000 μB per atom.

CIF file:
```
data_Tm4Tl2Ni
_chemical_formula_sum 'Tm4 Tl2 Ni1'
_space_group_name_H-M_alt 'P 1'
_space_group_IT_number 1
_space_group_name_Hall 'P 1'
_cell_length_a 3.7025
_cell_length_b 8.1461
_cell_length_c 6.8861
_cell_angle_alpha 105.15
_cell_angle_beta 90.00
_cell_angle_gamma 90.00
loop_
_atom_site_label
_atom_site_type_symbol
_atom_site_fract_x
_atom_site_fract_y
_atom_site_fract_z
Tm1 Tm 0.5000 0.0982 0.8273
Tm2 Tm 0.0000 0.4092 0.2315
Tm3 Tm 0.5000 0.0445 0.3159
Tm4 Tm 0.0000 0.7339 0.9108
Tl1 Tl 0.5000 0.4129 0.6622
Tl2 Tl 0.5000 0.7296 0.4807
Ni1 Ni 0.0000 0.0716 0.0719
```



DFT (PBE) results for a relaxed Tm5Tl2Ni2 crystal.

As for the total magnetization: 0.000 μB per atom.

CIF file:
```
data_Tm5Tl2Ni2
_chemical_formula_sum 'Tm10 Tl4 Ni4'
_space_group_name_H-M_alt 'P 1'
_space_group_IT_number 1
_space_group_name_Hall 'P 1'
_cell_length_a 7.0875
_cell_length_b 7.5806
_cell_length_c 9.0064
_cell_angle_alpha 114.89
_cell_angle_beta 90.00
_cell_angle_gamma 90.00
loop_
_atom_site_label
_atom_site_type_symbol
_atom_site_fract_x
_atom_site_fract_y
_atom_site_fract_z
Tm1 Tm 0.0000 0.0000 0.0000
Tm2 Tm 0.5000 0.5000 0.0000
Tm3 Tm 0.8344 0.7920 0.2287
Tm4 Tm 0.1656 0.4367 0.2287
Tm5 Tm 0.3344 0.9367 0.2287
Tm6 Tm 0.6656 0.2920 0.2287
Tm7 Tm 0.1656 0.2080 0.7713
Tm8 Tm 0.8344 0.5633 0.7713
Tm9 Tm 0.6656 0.0633 0.7713
Tm10 Tm 0.3344 0.7080 0.7713
Tl1 Tl 0.0000 0.2254 0.4508
Tl2 Tl 0.5000 0.7254 0.4508
Tl3 Tl 0.0000 0.7746 0.5492
Tl4 Tl 0.5000 0.2746 0.5492
Ni1 Ni 0.6238 0.8743 0.0000
Ni2 Ni 0.3762 0.1257 0.0000
Ni3 Ni 0.1238 0.6257 0.0000
Ni4 Ni 0.8762 0.3743 0.0000
```



DFT (PBE) results for a relaxed Tm6Tl3Ni crystal.

As for the total magnetization: 0.000 μB per atom.

CIF file:
```
data_Tm6Tl3Ni
_chemical_formula_sum 'Tm12 Tl6 Ni2'
_space_group_name_H-M_alt 'P 1'
_space_group_IT_number 1
_space_group_name_Hall 'P 1'
_cell_length_a 6.0623
_cell_length_b 8.6985
_cell_length_c 10.4456
_cell_angle_alpha 90.00
_cell_angle_beta 87.92
_cell_angle_gamma 90.00
loop_
_atom_site_label
_atom_site_type_symbol
_atom_site_fract_x
_atom_site_fract_y
_atom_site_fract_z
Tm1 Tm 0.6247 0.1573 0.9400
Tm2 Tm 0.5953 0.2026 0.5669
Tm3 Tm 0.6340 0.4446 0.2737
Tm4 Tm 0.3660 0.5554 0.7263
Tm5 Tm 0.4047 0.7974 0.4331
Tm6 Tm 0.3753 0.8427 0.0600
Tm7 Tm 0.1247 0.3427 0.4400
Tm8 Tm 0.0953 0.2974 0.0669
Tm9 Tm 0.1340 0.0554 0.7737
Tm10 Tm 0.8660 0.9446 0.2263
Tm11 Tm 0.9047 0.7026 0.9331
Tm12 Tm 0.8753 0.6573 0.5600
Tl1 Tl 0.5915 0.8896 0.7354
Tl2 Tl 0.5000 0.5000 0.0000
Tl3 Tl 0.4085 0.1104 0.2646
Tl4 Tl 0.0915 0.6104 0.2354
Tl5 Tl 0.0000 0.0000 0.5000
Tl6 Tl 0.9085 0.3896 0.7646
Ni1 Ni 0.5000 0.5000 0.5000
Ni2 Ni 0.0000 0.0000 0.0000
```



The evaluated energy of formation for the records listed, in turn: -0.12, -0.35, -0.21 eV/atom.
The evaluated DOS(E_F) for the records listed, in turn: 0.744, 0.821, 1.139 states/eV/atom.